LaTaSe2Br | GGA-PBE | optimized geometry

Geometry as POSCAR:
```
LaTaSe2Br
1.0
-4.3327 3.6701 -0.5030
-1.3569 -2.2926 -5.0396
-3.3360 -3.5913 2.5320
La Se Br Ta
1 2 1 1
Direct
0.0000 0.0000 0.0000
0.0000 0.5000 0.0000
0.5000 0.0000 0.0000
0.0000 0.0000 0.5000
0.5000 0.5000 0.5000
```

Summary:
E above lowest polymorph: 1014 meV/atom
Raw formation energy: 0.331 eV per atom
E: -23.8 eV for the cell shown
Space-group type: P4/mmm (123)
Total moment: 3.00 μB/cell